Entry 1:
5
Lattice="4.873 0.000 0.000 0.000 4.873 0.000 0.000 0.000 4.873" Properties=species:S:1:pos:R:3 comment="BeSbBr3 | Alexandria via LeMat-Bulk | GGA-PBE | optimized geometry" dft_energy_ev_per_cell=-13.099 polymorph_energy_ev_per_fu=0.00 dos_ef_per_ev_atom=0.26 raw_formation_energy_mev_per_atom=-46 spacegroup="No. 221" pbc="T T T"
Sb 2.437 2.437 2.437
Be 0.000 0.000 0.000
Br 0.000 2.437 0.000
Br 2.437 0.000 0.000
Br 0.000 0.000 2.437



Entry 2:
6
Lattice="0.000 4.440 4.440 4.440 0.000 4.440 4.440 4.440 0.000" Properties=species:S:1:pos:R:3 comment="BeSb4Br | Alexandria via LeMat-Bulk | GGA-PBE | optimized geometry" dft_energy_ev_per_cell=-18.300 dos_ef_per_ev_atom=0.48 raw_formation_energy_mev_per_atom=598 spacegroup="No. 216" pbc="T T T"
Sb 5.618 3.262 5.618
Sb 3.262 5.618 5.618
Sb 5.618 5.618 3.262
Sb 3.262 3.262 3.262
Br 0.000 0.000 0.000
Be 6.660 6.660 6.660



Entry 3:
3
Lattice="4.640 0.000 0.000 2.320 4.018 0.000 2.320 1.339 3.789" Properties=species:S:1:pos:R:3 comment="BeSbBr | Alexandria via LeMat-Bulk | GGA-PBE | optimized geometry" dft_energy_ev_per_cell=-7.483 polymorph_energy_ev_per_fu=2.68 dos_ef_per_ev_atom=1.16 raw_formation_energy_mev_per_atom=680 spacegroup="No. 216" pbc="T T T"
Sb 4.640 2.679 1.894
Be 6.960 4.018 2.841
Br 0.000 0.000 0.000



Entry 4:
6
Lattice="0.000 3.534 3.534 3.534 0.000 3.534 3.534 3.534 0.000" Properties=species:S:1:pos:R:3 comment="Be4SbBr | Alexandria via LeMat-Bulk | GGA-PBE | optimized geometry" dft_energy_ev_per_cell=-16.246 dos_ef_per_ev_atom=0.50 raw_formation_energy_mev_per_atom=742 spacegroup="No. 216" pbc="T T T"
Be 4.441 4.441 2.627
Be 2.627 4.441 4.441
Be 4.441 2.627 4.441
Be 2.627 2.627 2.627
Sb 0.000 0.000 0.000
Br 5.301 5.301 5.301



Entry 5:
5
Lattice="5.628 0.000 0.000 0.000 5.628 0.000 0.000 0.000 5.316" Properties=species:S:1:pos:R:3 comment="BeSbSeBr2 | Alexandria via LeMat-Bulk | GGA-PBE | optimized geometry" dft_energy_ev_per_cell=-12.118 polymorph_energy_ev_per_fu=2.77 dos_ef_per_ev_atom=0.32 raw_formation_energy_mev_per_atom=512 spacegroup="No. 123" pbc="T T T"
Be 2.814 2.814 2.658
Br 2.814 0.000 0.000
Br 0.000 2.814 0.000
Sb 0.000 0.000 0.000
Se 0.000 0.000 2.658



Entry 6:
5
Lattice="4.655 0.000 0.000 0.000 4.655 0.000 0.000 0.000 5.114" Properties=species:S:1:pos:R:3 comment="BeSbSeBr2 | Alexandria via LeMat-Bulk | GGA-PBE | optimized geometry" dft_energy_ev_per_cell=-14.884 polymorph_energy_ev_per_fu=0.00 dos_ef_per_ev_atom=0.38 raw_formation_energy_mev_per_atom=-41 spacegroup="No. 123" pbc="T T T"
Br 0.000 2.328 0.000
Br 2.328 0.000 0.000
Sb 2.328 2.328 2.557
Be 0.000 0.000 0.000
Se 0.000 0.000 2.557